Entry 1:
Below is a relaxed structure of YPu2ThP4, with properties calculated at the PBE level.

Cell and atoms, written as CIF:
```
data_YPu2ThP4
_chemical_formula_sum 'Y1 Pu2 Th1 P4'
_cell_length_a 4.060
_cell_length_b 7.005
_cell_length_c 6.985
_cell_angle_alpha 109.77
_cell_angle_beta 90.00
_cell_angle_gamma 90.00
_space_group_name_H-M_alt 'P 1'
_space_group_IT_number 1
_space_group_name_Hall 'P 1'
loop_
_atom_site_label
_atom_site_type_symbol
_atom_site_fract_x
_atom_site_fract_y
_atom_site_fract_z
_atom_site_occupancy
Y1 Y 0.000 0.000 0.000 1
Pu1 Pu 0.500 0.000 0.500 1
Pu2 Pu 0.000 0.500 0.500 1
Th1 Th 0.500 0.500 0.000 1
P1 P 0.500 0.250 0.256 1
P2 P 0.500 0.750 0.744 1
P3 P 0.000 0.242 0.742 1
P4 P 0.000 0.758 0.258 1
```

Output
DOS(E_F) in states/eV per cell: 23.9
ΔE_f in eV/f.u.: -10.902
Space group: P2/m, No. 10

Entry 2:
Below is a relaxed structure of NaCoSb2Te, with properties calculated at the PBE level.

Cell and atoms, written as CIF:
```
data_NaCoSb2Te
_chemical_formula_sum 'Na1 Co1 Sb2 Te1'
_cell_length_a 5.333
_cell_length_b 5.333
_cell_length_c 5.400
_cell_angle_alpha 90.00
_cell_angle_beta 90.00
_cell_angle_gamma 90.00
_space_group_name_H-M_alt 'P 1'
_space_group_IT_number 1
_space_group_name_Hall 'P 1'
loop_
_atom_site_label
_atom_site_type_symbol
_atom_site_fract_x
_atom_site_fract_y
_atom_site_fract_z
_atom_site_occupancy
Sb1 Sb 0.000 0.500 0.000 1
Sb2 Sb 0.500 0.000 0.000 1
Te1 Te 0.000 0.000 0.500 1
Co1 Co 0.500 0.500 0.500 1
Na1 Na 0.000 0.000 0.000 1
```

Output
DOS(E_F) in states/eV per cell: 6.7
ΔE_f (raw) in meV per atom: 1264.4
Space group: P4/mmm, No. 123

Entry 3:
Below is a relaxed structure of Na12CdIn7, with properties calculated at the PBE level.

Cell and atoms, written as CIF:
```
data_Na12CdIn7
_chemical_formula_sum 'Na12 Cd1 In7'
_cell_length_a 8.532
_cell_length_b 8.532
_cell_length_c 8.532
_cell_angle_alpha 102.18
_cell_angle_beta 102.18
_cell_angle_gamma 102.18
_space_group_name_H-M_alt 'P 1'
_space_group_IT_number 1
_space_group_name_Hall 'P 1'
loop_
_atom_site_label
_atom_site_type_symbol
_atom_site_fract_x
_atom_site_fract_y
_atom_site_fract_z
_atom_site_occupancy
Na1 Na 0.762 0.238 0.499 1
Na2 Na 0.501 0.238 0.762 1
Na3 Na 0.918 0.668 0.673 1
Na4 Na 0.327 0.082 0.332 1
Na5 Na 0.762 0.501 0.238 1
Na6 Na 0.332 0.327 0.082 1
Na7 Na 0.668 0.673 0.918 1
Na8 Na 0.238 0.499 0.762 1
Na9 Na 0.673 0.918 0.668 1
Na10 Na 0.082 0.332 0.327 1
Na11 Na 0.499 0.762 0.238 1
Na12 Na 0.238 0.762 0.501 1
Cd1 Cd 0.000 0.000 0.000 1
In1 In 0.317 0.907 0.909 1
In2 In 0.091 0.683 0.093 1
In3 In 0.093 0.091 0.683 1
In4 In 0.500 0.500 0.500 1
In5 In 0.907 0.909 0.317 1
In6 In 0.909 0.317 0.907 1
In7 In 0.683 0.093 0.091 1
```

Output
DOS(E_F) in states/eV per cell: 7.4
ΔE_f in eV/f.u.: -1.496
Space group: R-3, No. 148

Entry 4:
Below is a relaxed structure of AlPtW4, with properties calculated at the PBE level.

Cell and atoms, written as CIF:
```
data_AlPtW4
_chemical_formula_sum 'Al1 Pt1 W4'
_cell_length_a 5.254
_cell_length_b 5.254
_cell_length_c 5.254
_cell_angle_alpha 60.00
_cell_angle_beta 60.00
_cell_angle_gamma 60.00
_space_group_name_H-M_alt 'P 1'
_space_group_IT_number 1
_space_group_name_Hall 'P 1'
loop_
_atom_site_label
_atom_site_type_symbol
_atom_site_fract_x
_atom_site_fract_y
_atom_site_fract_z
_atom_site_occupancy
Al1 Al 0.750 0.750 0.750 1
Pt1 Pt 0.000 0.000 0.000 1
W1 W 0.872 0.376 0.376 1
W2 W 0.376 0.376 0.872 1
W3 W 0.376 0.872 0.376 1
W4 W 0.376 0.376 0.376 1
```

Output
DOS(E_F) in states/eV per cell: 6.5
ΔE_f in eV/f.u.: 2.762
Space group: F-43m, No. 216

Q: Which value of DOS(E_F) does entry 1 give?
A: 23.9 states/eV per cell

Q: Which formula does entry 2 have?
A: NaCoSb2Te